[1]
Computed, not measured: crystalline Ho5Sb2As2 at its relaxed geometry at the PBE level of DFT.

The formation energy (no corrections) comes out at -1.124 eV per atom.

The space group is Cmce (No. 64) and the conventional cell measures 14.9748, 7.8244 and 7.9055 Å, with angles of 90.00, 90.00 and 90.00 degrees. Symmetry generates all atoms from Ho at (0.0000, 0.0000, 0.0000), Ho at (0.1281, 0.1582, 0.3410), Sb at (0.2023, 0.0000, 0.0000) and As at (0.0000, 0.1462, 0.6442).

=====

[2]
Computed, not measured: crystalline Gd2TlV at its relaxed geometry at the PBE level of DFT.

As for the formation energy: 190 meV per atom.

The space group is R-3m (No. 166, hexagonal axes) and the conventional cell measures 3.5243, 3.5243 and 29.6079 Å, with angles of 90.00, 90.00 and 120.00 degrees. Symmetry generates all atoms from Gd at (0.0000, 0.0000, 0.2420), Tl at (0.0000, 0.0000, 0.0000) and V at (0.0000, 0.0000, 0.5000).

=====

[3]
Computed, not measured: crystalline Sm11Y9Sc4 at its relaxed geometry at the PBE level of DFT.

As for the formation energy: 45 meV per atom.

The space group is Cmmm (No. 65) and the conventional cell measures 16.7918, 25.3928 and 3.5930 Å, with angles of 90.00, 90.00 and 90.00 degrees. Symmetry generates all atoms from Sm at (0.0000, 0.0000, 0.0000), Sm at (0.0000, 0.1595, 0.0000), Sm at (0.0000, 0.3706, 0.0000), Sm at (0.2013, 0.5000, 0.0000), Sm at (0.2268, 0.1801, 0.0000), Y at (0.0000, 0.5000, 0.5000), Y at (0.1027, 0.2689, 0.5000), Y at (0.1453, 0.0722, 0.5000) and Sc at (0.1562, 0.3980, 0.5000).